Record 1
A plane-wave DFT calculation with PBE-GGA was carried out for a geometry-optimized La2Si4AgAu3 structure.

a = 4.413 Å, b = 4.413 Å, c = 10.285 Å
α = 90.00°, β = 90.00°, γ = 90.00°
Element x y z (fractional)
La: 0.000 0.500 0.246
La: 0.500 0.000 0.754
Si: 0.000 0.000 0.000
Si: 0.000 0.500 0.635
Si: 0.500 0.000 0.365
Si: 0.500 0.500 0.000
Ag: 0.000 0.000 0.500
Au: 0.000 0.500 0.878
Au: 0.500 0.000 0.122
Au: 0.500 0.500 0.500

Properties
Uncorrected energy in eV per atom: -5.0021
Total moment in μB per cell: 0.00
Formation energy from raw total energies in eV per atom: -0.579
D(E_F) in states/eV per atom: 0.18

=====

Record 2
A plane-wave DFT calculation with PBE-GGA was carried out for a geometry-optimized Er4Tm3Ru4 structure.

a = 9.356 Å, b = 9.356 Å, c = 9.356 Å
α = 158.58°, β = 124.10°, γ = 60.55°
Element x y z (fractional)
Er: 0.027 0.835 0.191
Er: 0.356 0.165 0.191
Er: 0.644 0.835 0.809
Er: 0.973 0.165 0.809
Tm: 0.000 0.500 0.500
Tm: 0.403 0.403 0.000
Tm: 0.597 0.597 0.000
Ru: 0.259 0.759 0.500
Ru: 0.278 0.000 0.278
Ru: 0.722 0.000 0.722
Ru: 0.741 0.241 0.500

Properties
Uncorrected energy in eV per atom: -6.6245
Total moment in μB per cell: 0.00
D(E_F) in states/eV per atom: 0.46

=====

Record 3
A plane-wave DFT calculation with PBE-GGA was carried out for a geometry-optimized CsNaF2 structure.

a = 7.243 Å, b = 7.520 Å, c = 6.333 Å
α = 90.00°, β = 104.83°, γ = 90.00°
Element x y z (fractional)
Cs: 0.176 0.085 0.305
Cs: 0.176 0.415 0.805
Cs: 0.824 0.585 0.195
Cs: 0.824 0.915 0.695
Na: 0.373 0.666 0.359
Na: 0.373 0.834 0.859
Na: 0.627 0.166 0.141
Na: 0.627 0.334 0.641
F: 0.148 0.748 0.039
F: 0.148 0.752 0.539
F: 0.443 0.120 0.774
F: 0.443 0.380 0.274
F: 0.557 0.620 0.726
F: 0.557 0.880 0.226
F: 0.852 0.248 0.461
F: 0.852 0.252 0.961

Properties
Uncorrected energy in eV per atom: -4.1262
Total moment in μB per cell: 0.33
Formation energy from raw total energies in eV per atom: -2.647
D(E_F) in states/eV per atom: 0.00
Energy above the lowest structure with this stoichiometry in meV/atom: 22

=====

Record 4
A plane-wave DFT calculation with PBE-GGA was carried out for a geometry-optimized Mg2TlIn structure.

a = 5.219 Å, b = 5.219 Å, c = 6.011 Å
α = 100.69°, β = 100.69°, γ = 37.78°
Element x y z (fractional)
Mg: 0.249 0.249 0.245
Mg: 0.751 0.751 0.755
Tl: 0.000 0.000 0.500
In: 0.500 0.500 0.000

Properties
Uncorrected energy in eV per atom: -2.1263
Total moment in μB per cell: 0.00
D(E_F) in states/eV per atom: 0.20